(one)
Entry from the Alexandria database: a geometry-optimized TbPmPrTh structure (GGA-PBE).

The space group is F-43m (No. 216) and the conventional cell measures 8.139, 8.139 and 8.139 Å, with angles of 90.00, 90.00 and 90.00 degrees. The inequivalent atoms are Tb at (0.000, 0.000, 0.000), Pm at (0.000, 0.000, 0.500), Pr at (0.250, 0.250, 0.250) and Th at (0.250, 0.250, 0.750).

The value obtained for the volume is 33.699 A^3/atom. As for the spin magnetization: 0.000 μB per atom.

***

(two)
Entry from the Alexandria database: a geometry-optimized TbPmPrTh structure (GGA-PBE).

The space group is P4mm (No. 99) and the conventional cell measures 3.616, 3.616 and 10.323 Å, with angles of 90.00, 90.00 and 90.00 degrees. The inequivalent atoms are Tb at (0.000, 0.000, 0.000), Pm at (0.000, 0.000, 0.475), Pr at (0.500, 0.500, 0.741) and Th at (0.500, 0.500, 0.235).

The value obtained for the volume is 33.741 A^3/atom. As for the spin magnetization: 0.000 μB per atom.

***

Short version: (one) is the least stable of them.

***

(one)
Entry from the Alexandria database: a geometry-optimized TbPmPrTl structure (GGA-PBE).

The space group is F-43m (No. 216) and the conventional cell measures 7.918, 7.918 and 7.918 Å, with angles of 90.00, 90.00 and 90.00 degrees. The inequivalent atoms are Tb at (0.000, 0.000, 0.000), Pm at (0.250, 0.250, 0.750), Pr at (0.250, 0.250, 0.250) and Tl at (0.000, 0.000, 0.500).

The value obtained for the volume is 31.025 A^3/atom. As for the spin magnetization: 0.325 μB per atom.

***

(two)
Entry from the Alexandria database: a geometry-optimized TbPmPrTl structure (GGA-PBE).

The space group is Pmmm (No. 47) and the conventional cell measures 4.908, 4.942 and 5.020 Å, with angles of 90.00, 90.00 and 90.00 degrees. The inequivalent atoms are Tb at (0.000, 0.000, 0.000), Pm at (0.000, 0.500, 0.500), Pr at (0.500, 0.000, 0.500) and Tl at (0.500, 0.500, 0.000).

The value obtained for the volume is 30.442 A^3/atom. As for the spin magnetization: 0.001 μB per atom.

***

Short version: (one) is the least stable of them.

***

(one)
Entry from the Alexandria database: a geometry-optimized TbPmPrZn structure (GGA-PBE).

The space group is P4mm (No. 99) and the conventional cell measures 3.638, 3.638 and 8.830 Å, with angles of 90.00, 90.00 and 90.00 degrees. The inequivalent atoms are Tb at (0.000, 0.000, 0.000), Pm at (0.000, 0.000, 0.406), Pr at (0.500, 0.500, 0.707) and Zn at (0.500, 0.500, 0.194).

The value obtained for the volume is 29.208 A^3/atom. As for the spin magnetization: 0.000 μB per atom.

***

(two)
Entry from the Alexandria database: a geometry-optimized TbPmPrZn structure (GGA-PBE).

The space group is F-43m (No. 216) and the conventional cell measures 7.717, 7.717 and 7.717 Å, with angles of 90.00, 90.00 and 90.00 degrees. The inequivalent atoms are Tb at (0.000, 0.000, 0.000), Pm at (0.250, 0.250, 0.750), Pr at (0.000, 0.000, 0.500) and Zn at (0.250, 0.250, 0.250).

The value obtained for the volume is 28.727 A^3/atom. As for the spin magnetization: 0.001 μB per atom.

***

Short version: (two) is the least stable of them.

***

(one)
Entry from the Alexandria database: a geometry-optimized Pm3PrTc structure (GGA-PBE).

The space group is Cm (No. 8) and the conventional cell measures 12.437, 4.020 and 13.218 Å, with angles of 90.00, 111.88 and 90.00 degrees. The inequivalent atoms are Pm at (0.000, 0.000, 0.000), Pm at (0.022, 0.000, 0.375), Pm at (0.161, 0.500, 0.239), Pm at (0.188, 0.500, 0.610), Pm at (0.352, 0.000, 0.474), Pm at (0.466, 0.000, 0.751), Pr at (0.224, 0.000, 0.859), Pr at (0.333, 0.000, 0.140), Tc at (0.025, 0.000, 0.610) and Tc at (0.160, 0.500, 0.998).

The value obtained for the volume is 30.661 A^3/atom. As for the spin magnetization: 0.000 μB per atom.

***

(two)
Entry from the Alexandria database: a geometry-optimized Pm3PrTc structure (GGA-PBE).

The space group is Pm-3m (No. 221) and the conventional cell measures 5.514, 5.514 and 5.514 Å, with angles of 90.00, 90.00 and 90.00 degrees. The inequivalent atoms are Pm at (0.000, 0.000, 0.500), Pr at (0.500, 0.500, 0.500) and Tc at (0.000, 0.000, 0.000).

The value obtained for the volume is 33.531 A^3/atom. As for the spin magnetization: 0.141 μB per atom.

***

Short version: (two) is the least stable of them.

***

(one)
Entry from the Alexandria database: a geometry-optimized PmPr2Tc structure (GGA-PBE).

The space group is Cmcm (No. 63) and the conventional cell measures 4.039, 12.361 and 9.599 Å, with angles of 90.00, 90.00 and 90.00 degrees. The inequivalent atoms are Pm at (0.000, 0.079, 0.250), Pr at (0.000, 0.357, 0.070) and Tc at (0.000, 0.261, 0.750).

The value obtained for the volume is 29.953 A^3/atom. As for the spin magnetization: 0.000 μB per atom.

***

(two)
Entry from the Alexandria database: a geometry-optimized PmPr2Tc structure (GGA-PBE).

The space group is R-3m (No. 166, hexagonal axes) and the conventional cell measures 3.5405, 3.5405 and 33.4957 Å, with angles of 90.00, 90.00 and 120.00 degrees. The inequivalent atoms are Pm at (0.0000, 0.0000, 0.0000), Pr at (0.0000, 0.0000, 0.1045) and Tc at (0.0000, 0.0000, 0.5000).

The value obtained for the volume is 30.302 A^3/atom. As for the spin magnetization: 0.000 μB per atom.

***

Short version: (two) is the least stable of them.

***

(one)
Entry from the Alexandria database: a geometry-optimized Pm2PrTc structure (GGA-PBE).

The space group is P4/mmm (No. 123) and the conventional cell measures 3.525, 3.525 and 9.290 Å, with angles of 90.00, 90.00 and 90.00 degrees. The inequivalent atoms are Pm at (0.000, 0.000, 0.183), Pr at (0.500, 0.500, 0.500) and Tc at (0.500, 0.500, 0.000).

The value obtained for the volume is 28.866 A^3/atom. As for the spin magnetization: 0.000 μB per atom.

***

(two)
Entry from the Alexandria database: a geometry-optimized Pm2PrTc structure (GGA-PBE).

The space group is R-3m (No. 166, hexagonal axes) and the conventional cell measures 3.5140, 3.5140 and 33.5257 Å, with angles of 90.00, 90.00 and 120.00 degrees. The inequivalent atoms are Pm at (0.0000, 0.0000, 0.1056), Pr at (0.0000, 0.0000, 0.0000) and Tc at (0.0000, 0.0000, 0.5000).

The value obtained for the volume is 29.877 A^3/atom. As for the spin magnetization: 0.000 μB per atom.

***

Short version: (two) is the least stable of them.